1.
# SmSc4

An optimized crystal structure of SmSc4 (PBE, Alexandria).

The space group is P2_1/c (No. 14) and the conventional cell measures 8.5701, 4.9975 and 6.6542 Å, with angles of 90.00, 90.21 and 90.00 degrees. The distinct sites, in fractional coordinates, are Sm at (0.0000, 0.0000, 0.0000), Sc at (0.2975, 0.2494, 0.7490) and Sc at (0.3876, 0.7495, 0.4990).

For the formation energy, the calculation gives 0.25 eV/atom. As for the energy relative to the lowest polymorph listed for this composition: 0.191 eV/atom.



2.
# Sm3Sc

An optimized crystal structure of Sm3Sc (PBE, Alexandria).

The space group is Pm-3m (No. 221) and the conventional cell measures 4.9968, 4.9968 and 4.9968 Å, with angles of 90.00, 90.00 and 90.00 degrees. The distinct sites, in fractional coordinates, are Sm at (0.0000, 0.0000, 0.5000) and Sc at (0.5000, 0.5000, 0.5000).

For the formation energy, the calculation gives 0.04 eV/atom. As for the energy relative to the lowest polymorph listed for this composition: 0.000 eV/atom.



3.
# SmSc2

An optimized crystal structure of SmSc2 (PBE, Alexandria).

The space group is P6/mmm (No. 191) and the conventional cell measures 5.3660, 5.3660 and 3.2905 Å, with angles of 90.00, 90.00 and 120.00 degrees. The distinct sites, in fractional coordinates, are Sm at (0.0000, 0.0000, 0.0000) and Sc at (0.3333, 0.6667, 0.5000).

For the formation energy, the calculation gives 0.07 eV/atom. As for the energy relative to the lowest polymorph listed for this composition: 0.011 eV/atom.



> Which formula does entry 2 have?

Sm3Sc



> Which value of energy relative to the lowest polymorph listed for this composition does entry 3 give?

0.011 eV/atom